## Rb2TaBe2 (PBE)

Data for crystalline Rb2TaBe2 at its relaxed geometry.

Computed properties:
Crystal system: tetragonal
Total magnetization in μB per formula unit: 0.2
E_tot in eV/cell: -23.75
Energy relative to the lowest polymorph listed for this composition in eV/atom: 0.6274
E_form in eV per atom: 1.87

The structure in CIF format:
```
data_Rb2TaBe2
_chemical_formula_sum 'Rb4 Ta2 Be4'
_cell_length_a 9.217
_cell_length_b 9.217
_cell_length_c 2.870
_cell_angle_alpha 90.00
_cell_angle_beta 90.00
_cell_angle_gamma 90.00
_space_group_name_H-M_alt 'P 4/m b m'
_space_group_IT_number 127
_space_group_name_Hall '-P 4 2ab'
loop_
_atom_site_label
_atom_site_type_symbol
_atom_site_fract_x
_atom_site_fract_y
_atom_site_fract_z
Rb1 Rb 0.123 0.377 0.000
Ta1 Ta 0.000 0.000 0.000
Be1 Be 0.184 0.684 0.500
```